Entry 1:
Here is crystalline Np2Al8Cu at its relaxed geometry from the Alexandria database. Energies are from PBE.

Unit cell a=4.2729 b=4.2729 c=11.0947 alpha=90.00 beta=90.00 gamma=90.00
Last column: nearest neighbours and their distance in Å.
Element x y z (fractional)
1 Np 0.0000 0.0000 0.1904  12 Al 2.95-3.02
2 Np 0.0000 0.0000 0.8096  12 Al 2.95-3.02
3 Al 0.0000 0.5000 0.0000  4 Np 3.00, 8 Al 3.02-3.03
4 Al 0.0000 0.5000 0.3744  2 Cu 2.55, 1 Al 2.79
5 Al 0.0000 0.5000 0.6256  2 Cu 2.55, 1 Al 2.79
6 Al 0.5000 0.0000 0.0000  4 Np 3.00, 8 Al 3.02-3.03
7 Al 0.5000 0.0000 0.3744  2 Cu 2.55, 1 Al 2.79
8 Al 0.5000 0.0000 0.6256  2 Cu 2.55, 1 Al 2.79
9 Al 0.5000 0.5000 0.1934  8 Al 2.93-3.03, 4 Np 3.02
10 Al 0.5000 0.5000 0.8066  8 Al 2.93-3.03, 4 Np 3.02
11 Cu 0.0000 0.0000 0.5000  8 Al 2.55

VASP energy = -5.57 eV/atom
Fermi-level density of states = 1.4875 states/eV/atom
M_tot = 8.1 μB per formula unit

---

Entry 2:
Here is crystalline Np3Al12Cu at its relaxed geometry from the Alexandria database. Energies are from PBE.

Unit cell a=4.2213 b=4.2213 c=16.4110 alpha=90.00 beta=90.00 gamma=90.00
Last column: nearest neighbours and their distance in Å.
Element x y z (fractional)
1 Np 0.0000 0.0000 0.0000  12 Al 2.98-3.01
2 Np 0.0000 0.0000 0.2622  12 Al 2.99-3.02
3 Np 0.0000 0.0000 0.7378  12 Al 2.99-3.02
4 Al 0.0000 0.5000 0.1309  8 Al 2.98-3.01, 4 Np 3.01-3.02
5 Al 0.0000 0.5000 0.3933  2 Cu 2.74, 8 Al 2.74-3.03, 2 Np 3.01
6 Al 0.0000 0.5000 0.6067  2 Cu 2.74, 8 Al 2.74-3.03, 2 Np 3.01
7 Al 0.0000 0.5000 0.8691  8 Al 2.98-3.01, 4 Np 3.01-3.02
8 Al 0.5000 0.0000 0.1309  8 Al 2.98-3.01, 4 Np 3.01-3.02
9 Al 0.5000 0.0000 0.3933  2 Cu 2.74, 8 Al 2.74-3.03, 2 Np 3.01
10 Al 0.5000 0.0000 0.6067  2 Cu 2.74, 8 Al 2.74-3.03, 2 Np 3.01
11 Al 0.5000 0.0000 0.8691  8 Al 2.98-3.01, 4 Np 3.01-3.02
12 Al 0.5000 0.5000 0.0000  4 Np 2.98, 8 Al 3.01
13 Al 0.5000 0.5000 0.2606  4 Np 2.99, 8 Al 3.00-3.03
14 Al 0.5000 0.5000 0.5000  8 Al 2.74, 4 Cu 2.98
15 Al 0.5000 0.5000 0.7394  4 Np 2.99, 8 Al 3.00-3.03
16 Cu 0.0000 0.0000 0.5000  12 Al 2.74-2.98

VASP energy = -5.55 eV/atom
Fermi-level density of states = 1.6158 states/eV/atom
M_tot = 12.0 μB per formula unit

---

Entry 3:
Here is crystalline NpAl2Cu at its relaxed geometry from the Alexandria database. Energies are from PBE.

Unit cell a=5.1578 b=5.1578 c=2.6948 alpha=90.00 beta=90.00 gamma=90.00
Last column: nearest neighbours and their distance in Å.
Element x y z (fractional)
1 Np 0.0000 0.0000 0.0000  2 Np 2.69, 8 Al 2.91
2 Al 0.0000 0.5000 0.5000  2 Al 2.69, 4 Np 2.91, 4 Cu 2.91
3 Al 0.5000 0.0000 0.5000  2 Al 2.69, 4 Np 2.91, 4 Cu 2.91
4 Cu 0.5000 0.5000 0.0000  2 Cu 2.69, 8 Al 2.91

VASP energy = -5.95 eV/atom
Fermi-level density of states = 1.3573 states/eV/atom
M_tot = 3.5 μB per formula unit

---

| no. | formation energy (eV/atom) |
| --- | --- |
| 1 | -0.125 |
| 2 | -0.063 |
| 3 | 0.177 |